Record 1
VASP calculation (PBE) on an optimized crystal structure of Pm5Dy6Tm2.

Geometry as POSCAR:
```
Pm5Dy6Tm2
1.0
3.5863 0.0000 0.0000
0.0000 11.6185 0.0000
0.0000 0.0000 20.4991
Tm Pm Dy
4 10 12
direct
0.0000 0.8302 0.2096
0.0000 0.3302 0.2904
0.0000 0.6698 0.7096
0.0000 0.1698 0.7904
0.5000 0.4147 0.7278
0.5000 0.0853 0.2278
0.5000 0.9147 0.7722
0.5000 0.0000 0.5000
0.5000 0.3020 0.4488
0.5000 0.5000 0.0000
0.5000 0.5853 0.2722
0.5000 0.1980 0.9488
0.5000 0.8020 0.0512
0.5000 0.6980 0.5512
0.0000 0.4385 0.5816
0.0000 0.5615 0.4184
0.0000 0.9178 0.6314
0.0000 0.5822 0.1314
0.5000 0.3267 0.1394
0.5000 0.8267 0.3606
0.0000 0.0615 0.0816
0.0000 0.4178 0.8686
0.0000 0.9385 0.9184
0.5000 0.6733 0.8606
0.5000 0.1733 0.6394
0.0000 0.0822 0.3686
```

Properties
formation enthalpy at 0 K: 95 meV per atom
V: 854.2 Å³ per cell
E_tot: -4.544 eV/atom
magnetic moment: 0.00 μB/atom

Record 2
VASP calculation (PBE) on an optimized crystal structure of Pm3DyTm.

Geometry as POSCAR:
```
Pm3DyTm
1.0
-1.8700 -1.6593 -2.5339
9.2615 -4.3041 -4.0165
-1.8994 -13.8731 10.4866
Dy Pm Tm
4 12 4
direct
0.7543 0.2500 0.8992
0.2457 0.2500 0.3992
0.2457 0.7500 0.1008
0.7543 0.7500 0.6008
0.2517 0.5562 0.9235
0.2517 0.9438 0.9235
0.7483 0.0562 0.0765
0.2517 0.0562 0.5765
0.7530 0.0000 0.7500
0.7483 0.9438 0.4235
0.7483 0.4438 0.0765
0.2470 0.0000 0.2500
0.2470 0.5000 0.2500
0.2517 0.4438 0.5765
0.7530 0.5000 0.7500
0.7483 0.5562 0.4235
0.7461 0.7500 0.2745
0.7461 0.2500 0.2255
0.2539 0.7500 0.7745
0.2539 0.2500 0.7255
```

Properties
formation enthalpy at 0 K: 167 meV per atom
V: 683.4 Å³ per cell
E_tot: -4.498 eV/atom
distance to the lowest polymorph of the same formula: 0.151 eV/atom
magnetic moment: 0.00 μB/atom

Record 3
VASP calculation (PBE) on an optimized crystal structure of Pm5Dy12Tm2.

Geometry as POSCAR:
```
Pm5Dy12Tm2
1.0
9.2556 0.0000 0.0000
-4.6278 7.7195 1.1248
0.0000 -1.5775 8.4864
Pm Dy Tm
5 12 2
direct
0.7070 0.4140 0.0219
0.2311 0.4622 0.5706
0.7689 0.5378 0.4294
0.0000 0.0000 0.5000
0.2930 0.5860 0.9781
0.5620 0.7407 0.3274
0.8212 0.2593 0.6726
0.0728 0.1456 0.8755
0.4380 0.2593 0.6726
0.1788 0.7407 0.3274
0.0322 0.7052 0.7610
0.9678 0.2948 0.2390
0.3271 0.2948 0.2390
0.6729 0.7052 0.7610
0.5564 0.1129 0.3373
0.4436 0.8871 0.6627
0.9272 0.8544 0.1245
0.6722 0.0000 0.0000
0.3278 0.0000 0.0000
```

Properties
formation enthalpy at 0 K: 118 meV per atom
V: 622.8 Å³ per cell
E_tot: -4.509 eV/atom
distance to the lowest polymorph of the same formula: 0.100 eV/atom
magnetic moment: 0.00 μB/atom

Record 4
VASP calculation (PBE) on an optimized crystal structure of PmDy9Tm2.

Geometry as POSCAR:
```
PmDy9Tm2
1.0
-0.7285 -3.3382 0.7471
2.7659 -2.9401 -10.4405
7.7909 0.0983 8.0368
Dy Pm Tm
9 1 2
direct
0.5000 0.8219 0.1781
0.0000 0.0000 0.5000
0.5000 0.1781 0.8219
0.5000 0.6437 0.8219
0.0000 0.5000 0.5000
0.0000 0.5000 0.0000
0.5000 0.1781 0.3563
0.5000 0.3563 0.1781
0.5000 0.8219 0.6437
0.0000 0.0000 0.0000
0.0000 0.3333 0.6667
0.0000 0.6667 0.3333
```

Properties
formation enthalpy at 0 K: 39 meV per atom
V: 379.5 Å³ per cell
E_tot: -4.554 eV/atom
distance to the lowest polymorph of the same formula: 0.016 eV/atom
magnetic moment: 0.00 μB/atom

Record 5
VASP calculation (PBE) on an optimized crystal structure of PmDy7Tm2.

Geometry as POSCAR:
```
PmDy7Tm2
1.0
-4.5125 -3.3268 -0.2716
4.5670 -5.7569 -5.3619
-0.0154 -0.7194 9.0682
Dy Tm Pm
7 2 1
direct
0.5000 0.9385 0.7072
0.5000 0.5000 0.5000
0.0000 0.2186 0.7814
0.5000 0.7072 0.9385
0.5000 0.0615 0.2928
0.0000 0.7814 0.2186
0.5000 0.2928 0.0615
0.5000 0.7037 0.2963
0.5000 0.2963 0.7037
0.0000 0.0000 0.0000
```

Properties
formation enthalpy at 0 K: 697 meV per atom
V: 391.4 Å³ per cell
E_tot: -3.893 eV/atom
distance to the lowest polymorph of the same formula: 0.652 eV/atom
magnetic moment: 0.00 μB/atom

Record 6
VASP calculation (PBE) on an optimized crystal structure of Pm15Dy4Tm.

Geometry as POSCAR:
```
Pm15Dy4Tm
1.0
-3.1870 2.8141 -2.8614
-3.9907 -1.8344 2.6407
2.1207 19.2751 16.5944
Pm Dy Tm
15 4 1
direct
0.0000 0.5000 0.9006
0.5000 0.0000 0.0994
0.5000 0.5000 0.0000
0.5000 0.0000 0.9006
0.5000 0.5000 0.8006
0.5000 0.5000 0.3999
0.5000 0.0000 0.5000
0.5000 0.0000 0.2997
0.0000 0.5000 0.2997
0.5000 0.0000 0.7003
0.0000 0.5000 0.0994
0.0000 0.5000 0.7003
0.5000 0.5000 0.6001
0.0000 0.5000 0.5000
0.5000 0.5000 0.1994
0.0000 0.0000 0.3999
0.0000 0.0000 0.1995
0.0000 0.0000 0.8005
0.0000 0.0000 0.6001
0.0000 0.0000 0.0000
```

Properties
formation enthalpy at 0 K: 13 meV per atom
V: 670.3 Å³ per cell
E_tot: -4.694 eV/atom
magnetic moment: 0.00 μB/atom

Record 7
VASP calculation (PBE) on an optimized crystal structure of PmDy2Tm.

Geometry as POSCAR:
```
PmDy2Tm
1.0
5.6689 0.0000 0.0000
2.8345 4.9095 0.0000
2.8345 1.6365 4.6287
Dy Tm Pm
2 1 1
direct
0.7500 0.7500 0.7500
0.2500 0.2500 0.2500
0.5000 0.5000 0.5000
0.0000 0.0000 0.0000
```

Properties
formation enthalpy at 0 K: 146 meV per atom
V: 128.8 Å³ per cell
E_tot: -4.461 eV/atom
distance to the lowest polymorph of the same formula: 0.134 eV/atom
magnetic moment: 0.00 μB/atom

Record 8
VASP calculation (PBE) on an optimized crystal structure of Pm10DyTm4.

Geometry as POSCAR:
```
Pm10DyTm4
1.0
-3.6674 6.5636 1.8349
-8.2435 1.2252 -4.5371
-5.9720 -0.8227 7.3281
Pm Tm Dy
10 4 1
direct
0.5486 0.1011 0.3008
0.8494 0.6992 0.1011
0.2500 0.5000 0.5000
0.9505 0.8989 0.6992
0.6497 0.3008 0.8989
0.0495 0.1011 0.3008
0.1506 0.3008 0.8989
0.4514 0.8989 0.6992
0.3503 0.6992 0.1011
0.7500 0.5000 0.5000
0.2003 0.3999 0.1995
0.7997 0.6001 0.8005
0.6002 0.1995 0.6001
0.3998 0.8005 0.3999
0.0000 0.0000 0.0000
```

Properties
formation enthalpy at 0 K: 692 meV per atom
V: 581.0 Å³ per cell
E_tot: -3.974 eV/atom
magnetic moment: 0.00 μB/atom

Record 9
VASP calculation (PBE) on an optimized crystal structure of PmDy7Tm2.

Geometry as POSCAR:
```
PmDy7Tm2
1.0
-2.4277 -4.6034 -1.5098
1.6906 -8.2109 2.8498
-6.4537 5.0656 4.6520
Dy Pm Tm
7 1 2
direct
0.5000 0.5000 0.0000
0.9999 0.7998 0.5996
0.0001 0.2002 0.4004
0.2490 0.3616 0.2208
0.7523 0.8584 0.2209
0.7510 0.6384 0.7792
0.2477 0.1416 0.7791
0.0000 0.0000 0.0000
0.5002 0.6993 0.3986
0.4998 0.3007 0.6014
```

Properties
formation enthalpy at 0 K: 45 meV per atom
V: 315.7 Å³ per cell
E_tot: -4.545 eV/atom
distance to the lowest polymorph of the same formula: 0.000 eV/atom
magnetic moment: 0.00 μB/atom

Record 10
VASP calculation (PBE) on an optimized crystal structure of PmDy12Tm5.

Geometry as POSCAR:
```
PmDy12Tm5
1.0
-5.0030 5.5335 12.9786
-9.5182 0.9820 4.5366
0.5495 -4.4839 2.1240
Dy Tm Pm
12 5 1
direct
0.3343 0.0000 0.0000
0.1681 0.3326 0.5000
0.3343 0.6651 0.0000
0.6657 0.3349 0.0000
0.4994 0.3326 0.5000
0.6657 0.0000 0.0000
0.5006 0.6674 0.5000
0.9995 0.3348 0.0000
0.8319 0.6674 0.5000
0.1675 0.0000 0.4999
0.0006 0.6652 0.0000
0.8325 0.0000 0.5001
0.1679 0.6641 0.5000
0.3335 0.3330 0.0000
0.8321 0.3359 0.5000
0.6665 0.6670 0.0000
0.5000 0.0000 0.5000
0.0000 0.0000 0.0000
```

Properties
formation enthalpy at 0 K: 21 meV per atom
V: 560.4 Å³ per cell
E_tot: -4.553 eV/atom
magnetic moment: 0.00 μB/atom

Record 11
VASP calculation (PBE) on an optimized crystal structure of Pm3DyTm5.

Geometry as POSCAR:
```
Pm3DyTm5
1.0
-2.0486 3.8221 -7.5072
-7.9544 1.6663 3.0190
7.4454 3.9529 4.9869
Tm Pm Dy
10 6 2
direct
0.3476 0.8476 0.2749
0.1524 0.0727 0.7251
0.5000 0.5000 0.0000
0.9273 0.4273 0.2749
0.6524 0.1524 0.7251
0.8476 0.9273 0.2749
0.5727 0.6524 0.7251
0.0727 0.5727 0.7251
0.4273 0.3476 0.2749
0.0000 0.0000 0.0000
0.7500 0.7500 0.5000
0.8838 0.6162 0.0000
0.2500 0.2500 0.5000
0.1162 0.3838 0.0000
0.6162 0.1162 0.0000
0.3838 0.8838 0.0000
0.2500 0.7500 0.5000
0.7500 0.2500 0.5000
```

Properties
formation enthalpy at 0 K: 266 meV per atom
V: 574.1 Å³ per cell
E_tot: -4.313 eV/atom
magnetic moment: 0.00 μB/atom

Record 12
VASP calculation (PBE) on an optimized crystal structure of Pm8Dy3Tm.

Geometry as POSCAR:
```
Pm8Dy3Tm
1.0
-5.3350 -0.3431 -4.8810
4.9398 -7.4494 -4.8769
-4.9119 1.9918 7.9211
Pm Dy Tm
8 3 1
direct
0.8331 0.9997 0.3321
0.6671 0.0005 0.6680
0.6672 0.5020 0.6687
0.3329 0.4979 0.3312
0.3329 0.9996 0.3320
0.8334 0.4988 0.3323
0.1667 0.5013 0.6677
0.1668 0.0002 0.6678
0.0000 0.5000 0.0000
0.5000 0.5000 0.0000
0.5000 0.0000 0.0000
0.0000 0.0000 0.0000
```

Properties
formation enthalpy at 0 K: 13 meV per atom
V: 398.8 Å³ per cell
E_tot: -4.677 eV/atom
magnetic moment: 0.00 μB/atom

Record 13
VASP calculation (PBE) on an optimized crystal structure of PmDyTm2.

Geometry as POSCAR:
```
PmDyTm2
1.0
-0.1535 3.3247 1.2208
-1.0737 0.6210 3.3211
10.4549 0.4691 5.1843
Dy Pm Tm
1 1 2
direct
0.5000 0.5000 0.5000
0.0000 0.0000 0.0000
0.2490 0.2490 0.2529
0.7510 0.7510 0.7471
```

Properties
formation enthalpy at 0 K: 22 meV per atom
V: 125.1 Å³ per cell
E_tot: -4.552 eV/atom
distance to the lowest polymorph of the same formula: 0.005 eV/atom
magnetic moment: 0.00 μB/atom

Record 14
VASP calculation (PBE) on an optimized crystal structure of PmDy4Tm7.

Geometry as POSCAR:
```
PmDy4Tm7
1.0
6.3239 -1.8331 2.6529
0.7122 5.6894 2.2261
2.8317 -2.3042 10.6395
Tm Pm Dy
7 1 4
direct
0.5000 0.0000 0.0000
0.0844 0.2784 0.6652
0.3341 0.7777 0.6657
0.2494 0.5005 0.0002
0.6659 0.2223 0.3343
0.9156 0.7216 0.3348
0.7506 0.4995 0.9998
0.0000 0.0000 0.0000
0.4141 0.7212 0.3357
0.1665 0.2217 0.3338
0.8335 0.7783 0.6662
0.5859 0.2788 0.6643
```

Properties
formation enthalpy at 0 K: 1 meV per atom
V: 370.5 Å³ per cell
E_tot: -4.537 eV/atom
distance to the lowest polymorph of the same formula: 0.000 eV/atom
magnetic moment: 0.00 μB/atom

Record 15
VASP calculation (PBE) on an optimized crystal structure of PmDy12Tm2.

Geometry as POSCAR:
```
PmDy12Tm2
1.0
-3.1431 -4.6946 -3.4061
3.4682 -5.5308 -0.9494
-13.7930 -8.4377 18.7797
Dy Pm Tm
24 2 4
direct
0.3319 0.6681 0.5554
0.1034 0.3966 0.8611
0.5037 0.4962 0.3298
0.9016 0.0984 0.7977
0.4962 0.5037 0.6702
0.4443 0.5557 0.0748
0.1681 0.8319 0.4446
0.5557 0.4443 0.9252
0.9963 0.0038 0.6702
0.6035 0.8965 0.8611
0.4016 0.5984 0.7977
0.6681 0.3319 0.4446
0.1837 0.3163 0.4243
0.0984 0.9016 0.2023
0.8163 0.6837 0.5757
0.5984 0.4016 0.2023
0.3966 0.1034 0.1389
0.8965 0.6035 0.1389
0.8319 0.1681 0.5554
0.0557 0.9443 0.9252
0.9443 0.0557 0.0748
0.3163 0.1837 0.5757
0.0038 0.9963 0.3298
0.6837 0.8163 0.4243
0.5000 0.0000 0.0000
0.0000 0.5000 0.0000
0.5468 0.9532 0.2717
0.9532 0.5468 0.7283
0.0468 0.4532 0.2717
0.4532 0.0468 0.7283
```

Properties
formation enthalpy at 0 K: 114 meV per atom
V: 955.4 Å³ per cell
E_tot: -4.480 eV/atom
magnetic moment: 0.00 μB/atom

Record 16
VASP calculation (PBE) on an optimized crystal structure of Pm2Dy6Tm.

Geometry as POSCAR:
```
Pm2Dy6Tm
1.0
-4.6916 -4.3379 1.5182
4.6490 -8.1423 -1.9975
1.2026 -0.3899 9.5027
Tm Dy Pm
2 12 4
direct
0.2500 0.1174 0.8826
0.7500 0.8826 0.1174
0.2723 0.9407 0.5388
0.4951 0.3489 0.7236
0.9951 0.7236 0.3489
0.7723 0.5388 0.9407
0.5049 0.6511 0.2764
0.2277 0.4612 0.0593
0.0049 0.2764 0.6511
0.7277 0.0593 0.4612
0.3144 0.7776 0.9593
0.6856 0.2224 0.0407
0.1856 0.0407 0.2224
0.8144 0.9593 0.7776
0.6275 0.6685 0.6193
0.8725 0.3807 0.3315
0.3725 0.3315 0.3807
0.1275 0.6193 0.6685
```

Properties
formation enthalpy at 0 K: 113 meV per atom
V: 580.8 Å³ per cell
E_tot: -4.507 eV/atom
magnetic moment: 0.00 μB/atom

Record 17
VASP calculation (PBE) on an optimized crystal structure of Pm5Dy3Tm3.

Geometry as POSCAR:
```
Pm5Dy3Tm3
1.0
-2.1138 -2.1892 -1.6037
5.2087 -8.6257 4.9089
-8.7925 4.8222 5.0067
Pm Tm Dy
5 3 3
direct
0.5000 0.6618 0.6618
0.5000 0.0000 0.3382
0.5000 0.3333 0.6667
0.5000 0.3382 0.0000
0.5000 0.6667 0.3333
0.5000 0.0000 0.8408
0.5000 0.8408 0.0000
0.5000 0.1592 0.1592
0.0000 0.4043 0.4043
0.0000 0.0000 0.5957
0.0000 0.5957 0.0000
```

Properties
formation enthalpy at 0 K: 324 meV per atom
V: 374.2 Å³ per cell
E_tot: -4.310 eV/atom
distance to the lowest polymorph of the same formula: 0.000 eV/atom
magnetic moment: 0.00 μB/atom

Record 18
VASP calculation (PBE) on an optimized crystal structure of Pm2Dy4Tm.

Geometry as POSCAR:
```
Pm2Dy4Tm
1.0
-5.4216 -0.1255 2.7870
-0.5379 -6.4445 -1.3367
7.5114 -2.3799 8.4513
Dy Pm Tm
8 4 2
direct
0.6496 0.9933 0.2878
0.1498 0.7500 0.4444
0.3504 0.0067 0.7122
0.9763 0.2500 0.1435
0.8502 0.2500 0.5556
0.6496 0.5067 0.2878
0.3504 0.4933 0.7122
0.0237 0.7500 0.8565
0.3980 0.2500 0.0061
0.2877 0.2500 0.4271
0.7123 0.7500 0.5729
0.6020 0.7500 0.9939
0.8539 0.2500 0.8417
0.1461 0.7500 0.1583
```

Properties
formation enthalpy at 0 K: 136 meV per atom
V: 451.7 Å³ per cell
E_tot: -4.490 eV/atom
distance to the lowest polymorph of the same formula: 0.000 eV/atom
magnetic moment: 0.00 μB/atom